Here is crystalline LaHo3Bi2 at its relaxed geometry from the Alexandria database. Energies are from PBE-GGA.

- E_tot: -118.1 eV for the cell shown
- Energy relative to the elements: -3.1 eV per formula unit

Cell and atoms, written as CIF:
```
data_LaHo3Bi2
_cell_length_a 18.965
_cell_length_b 4.402
_cell_length_c 9.978
_cell_angle_alpha 90.00
_cell_angle_beta 113.60
_cell_angle_gamma 90.00
_space_group_name_H-M_alt 'C 1 2/m 1'
_space_group_IT_number 12
loop_
_space_group_symop_operation_xyz
'x,y,z'
'-x,-y,-z'
'-x,y,-z'
'x,-y,z'
'x+1/2,y+1/2,z'
'-x+1/2,-y+1/2,-z'
'-x+1/2,y+1/2,-z'
'x+1/2,-y+1/2,z'
loop_
_atom_site_label
_atom_site_fract_x
_atom_site_fract_y
_atom_site_fract_z
La1 0.112 0.000 0.125
Ho1 0.058 0.000 0.671
Ho2 0.136 0.500 0.477
Ho3 0.189 0.500 0.887
Bi1 0.014 0.500 0.844
Bi2 0.246 0.000 0.706
```